1.
MnHg2Au | PBE | optimized geometry

Cell lengths 9.2770, 9.2770, 9.2770 Å; angles 19.64, 19.64, 19.64 degrees
Sites, in units of the cell vectors:
Mn 0.0000 0.0000 0.0000
Hg 0.2535 0.2535 0.2535
Hg 0.7465 0.7465 0.7465
Au 0.5000 0.5000 0.5000

Its crystal system is trigonal. The total moment is 3.9 Bohr magnetons per cell. For the energy relative to the elements, the calculation gives 0.232 eV/atom. Its total energy is -3.031 eV per atom. Its symmetry is No. 166.

---

2.
MnHg2Au | PBE | optimized geometry

Cell lengths 5.0564, 5.0564, 5.0564 Å; angles 128.28, 128.28, 76.18 degrees
Sites, in units of the cell vectors:
Mn 0.0000 0.0000 0.0000
Hg 0.2500 0.7500 0.5000
Hg 0.7500 0.2500 0.5000
Au 0.5000 0.5000 0.0000

Its crystal system is tetragonal. The total moment is 4.2 Bohr magnetons per cell. For the energy relative to the elements, the calculation gives 0.196 eV/atom. Its total energy is -3.066 eV per atom. Its symmetry is No. 139.

---

Which value of energy relative to the elements does entry 1 give?
0.232 eV/atom